(1)
Compound: Ba3TePb
Source: the Alexandria database
Functional: SCAN
Structure: PBEsol geometry

Uncorrected formation energy (meV per atom): -688
Total magnetization (μB/atom): 0.00
Mass density (g/cm³): 4.52

CIF file:
```
data_Ba3TePb
_symmetry_space_group_name_H-M 'P m -3 m'
_symmetry_Int_Tables_number 221
_symmetry_space_group_name_Hall '-P 4 2 3'
_cell_length_a 6.499
_cell_length_b 6.499
_cell_length_c 6.499
_cell_angle_alpha 90.00
_cell_angle_beta 90.00
_cell_angle_gamma 90.00
loop_
_atom_site_label
_atom_site_type_symbol
_atom_site_fract_x
_atom_site_fract_y
_atom_site_fract_z
Ba1 Ba 0.000 0.000 0.500
Te1 Te 0.500 0.500 0.500
Pb1 Pb 0.000 0.000 0.000
```

(2)
Compound: RbP2S2
Source: the Alexandria database
Functional: SCAN
Structure: PBEsol geometry

Uncorrected formation energy (meV per atom): 133
Total magnetization (μB/atom): 0.24
Mass density (g/cm³): 3.38

CIF file:
```
data_RbP2S2
_symmetry_space_group_name_H-M 'P 4/m m m'
_symmetry_Int_Tables_number 123
_symmetry_space_group_name_Hall '-P 4 2'
_cell_length_a 4.795
_cell_length_b 4.795
_cell_length_c 4.526
_cell_angle_alpha 90.00
_cell_angle_beta 90.00
_cell_angle_gamma 90.00
loop_
_atom_site_label
_atom_site_type_symbol
_atom_site_fract_x
_atom_site_fract_y
_atom_site_fract_z
Rb1 Rb 0.000 0.000 0.000
P1 P 0.500 0.500 0.000
P2 P 0.500 0.500 0.500
S1 S 0.000 0.500 0.500
```

(3)
Compound: Cd2NiTeO
Source: the Alexandria database
Functional: SCAN
Structure: PBEsol geometry

Uncorrected formation energy (meV per atom): -235
Total magnetization (μB/atom): 0.12
Mass density (g/cm³): 7.96

CIF file:
```
data_Cd2NiTeO
_symmetry_space_group_name_H-M 'P 4/m m m'
_symmetry_Int_Tables_number 123
_symmetry_space_group_name_Hall '-P 4 2'
_cell_length_a 4.877
_cell_length_b 4.877
_cell_length_c 3.746
_cell_angle_alpha 90.00
_cell_angle_beta 90.00
_cell_angle_gamma 90.00
loop_
_atom_site_label
_atom_site_type_symbol
_atom_site_fract_x
_atom_site_fract_y
_atom_site_fract_z
Cd1 Cd 0.000 0.500 0.000
Ni1 Ni 0.000 0.000 0.500
Te1 Te 0.500 0.500 0.500
O1 O 0.000 0.000 0.000
```

(4)
Compound: Zn2BIr2
Source: the Alexandria database
Functional: SCAN
Structure: PBEsol geometry

Total magnetization (μB/atom): 0.00
Mass density (g/cm³): 13.92
Energy of formation (eV per atom): -0.341
Energy above the lowest structure with this stoichiometry (meV per atom): 0.0

CIF file:
```
data_Zn2BIr2
_symmetry_space_group_name_H-M 'C m c m'
_symmetry_Int_Tables_number 63
_symmetry_space_group_name_Hall '-C 2c 2'
_cell_length_a 2.806
_cell_length_b 26.432
_cell_length_c 10.151
_cell_angle_alpha 90.00
_cell_angle_beta 90.00
_cell_angle_gamma 90.00
loop_
_atom_site_label
_atom_site_type_symbol
_atom_site_fract_x
_atom_site_fract_y
_atom_site_fract_z
Zn1 Zn 0.000 0.000 0.000
Zn2 Zn 0.000 0.089 0.120
Zn3 Zn 0.000 0.180 0.250
Zn4 Zn 0.000 0.239 0.611
B1 B 0.000 0.041 0.750
B2 B 0.000 0.139 0.607
Ir1 Ir 0.000 0.328 0.250
Ir2 Ir 0.000 0.331 0.532
Ir3 Ir 0.000 0.426 0.108
Ir4 Ir 0.000 0.480 0.750
```

(5)
Compound: Ca3Ga3Ir2
Source: the Alexandria database
Functional: SCAN
Structure: PBEsol geometry

Total magnetization (μB/atom): 0.00
Mass density (g/cm³): 6.98
Energy of formation (eV per atom): -0.755

CIF file:
```
data_Ca3Ga3Ir2
_symmetry_space_group_name_H-M 'P n m a'
_symmetry_Int_Tables_number 62
_cell_length_a 8.021
_cell_length_b 14.763
_cell_length_c 5.733
_cell_angle_alpha 90.00
_cell_angle_beta 90.00
_cell_angle_gamma 90.00
loop_
_symmetry_equiv_pos_as_xyz
'x,y,z'
'-x,-y,-z'
'-x+1/2,-y,z+1/2'
'x+1/2,y,-z+1/2'
'x+1/2,-y+1/2,-z+1/2'
'-x+1/2,y+1/2,z+1/2'
'-x,y+1/2,-z'
'x,-y+1/2,z'
loop_
_atom_site_label
_atom_site_type_symbol
_atom_site_fract_x
_atom_site_fract_y
_atom_site_fract_z
Ca1 Ca 0.047 0.108 0.111
Ca2 Ca 0.198 0.250 0.620
Ga1 Ga 0.146 0.750 0.580
Ga2 Ga 0.179 0.040 0.624
Ir1 Ir 0.109 0.599 0.395
```

(6)
Compound: CoCuNi2
Source: the Alexandria database
Functional: SCAN
Structure: PBEsol geometry

Total magnetization (μB/atom): 0.80
Mass density (g/cm³): 9.43
Energy of formation (eV per atom): 0.047

CIF file:
```
data_CoCuNi2
_symmetry_space_group_name_H-M 'P m m m'
_symmetry_Int_Tables_number 47
_cell_length_a 2.462
_cell_length_b 3.464
_cell_length_c 4.952
_cell_angle_alpha 90.00
_cell_angle_beta 90.00
_cell_angle_gamma 90.00
loop_
_symmetry_equiv_pos_as_xyz
'x,y,z'
'-x,-y,-z'
'-x,-y,z'
'x,y,-z'
'x,-y,-z'
'-x,y,z'
'-x,y,-z'
'x,-y,z'
loop_
_atom_site_label
_atom_site_type_symbol
_atom_site_fract_x
_atom_site_fract_y
_atom_site_fract_z
Co1 Co 0.000 0.000 0.000
Cu1 Cu 0.000 0.000 0.500
Ni1 Ni 0.500 0.500 0.244
```

(7)
Compound: BaHgAs2Se
Source: the Alexandria database
Functional: SCAN
Structure: PBEsol geometry

Uncorrected formation energy (meV per atom): 700
Total magnetization (μB/atom): 0.85
Mass density (g/cm³): 3.83

CIF file:
```
data_BaHgAs2Se
_symmetry_space_group_name_H-M 'P 4/m m m'
_symmetry_Int_Tables_number 123
_symmetry_space_group_name_Hall '-P 4 2'
_cell_length_a 6.407
_cell_length_b 6.407
_cell_length_c 5.988
_cell_angle_alpha 90.00
_cell_angle_beta 90.00
_cell_angle_gamma 90.00
loop_
_atom_site_label
_atom_site_type_symbol
_atom_site_fract_x
_atom_site_fract_y
_atom_site_fract_z
Ba1 Ba 0.000 0.000 0.000
Hg1 Hg 0.500 0.500 0.500
As1 As 0.000 0.500 0.000
Se1 Se 0.000 0.000 0.500
```

(8)
Compound: BiTeSeS2
Source: the Alexandria database
Functional: SCAN
Structure: PBEsol geometry

Uncorrected formation energy (meV per atom): 528
Total magnetization (μB/atom): 0.10
Mass density (g/cm³): 6.31

CIF file:
```
data_BiTeSeS2
_symmetry_space_group_name_H-M 'P 4/m m m'
_symmetry_Int_Tables_number 123
_symmetry_space_group_name_Hall '-P 4 2'
_cell_length_a 4.705
_cell_length_b 4.705
_cell_length_c 5.699
_cell_angle_alpha 90.00
_cell_angle_beta 90.00
_cell_angle_gamma 90.00
loop_
_atom_site_label
_atom_site_type_symbol
_atom_site_fract_x
_atom_site_fract_y
_atom_site_fract_z
Bi1 Bi 0.000 0.000 0.000
Te1 Te 0.500 0.500 0.000
Se1 Se 0.000 0.000 0.500
S1 S 0.000 0.500 0.500
```

(9)
Compound: Sr2Mg
Source: the Alexandria database
Functional: SCAN
Structure: PBEsol geometry

Total magnetization (μB/atom): 0.00
Mass density (g/cm³): 2.69
Energy of formation (eV per atom): 0.102

CIF file:
```
data_Sr2Mg
_symmetry_space_group_name_H-M 'P -3 m 1'
_symmetry_Int_Tables_number 164
_symmetry_space_group_name_Hall '-P 3 2"'
_cell_length_a 6.0194
_cell_length_b 6.0194
_cell_length_c 3.9262
_cell_angle_alpha 90.00
_cell_angle_beta 90.00
_cell_angle_gamma 120.00
loop_
_atom_site_label
_atom_site_type_symbol
_atom_site_fract_x
_atom_site_fract_y
_atom_site_fract_z
Sr1 Sr 0.3333 0.6667 0.2062
Mg1 Mg 0.0000 0.0000 0.5000
```

(10)
Compound: CdHg4
Source: the Alexandria database
Functional: SCAN
Structure: PBEsol geometry

Total magnetization (μB/atom): 0.00
Mass density (g/cm³): 13.57
Energy of formation (eV per atom): 0.042
Energy above the lowest structure with this stoichiometry (meV per atom): 0.0

CIF file:
```
data_CdHg4
_symmetry_space_group_name_H-M 'I 4/m'
_symmetry_Int_Tables_number 87
_symmetry_space_group_name_Hall '-I 4'
_cell_length_a 7.097
_cell_length_b 7.097
_cell_length_c 4.446
_cell_angle_alpha 90.00
_cell_angle_beta 90.00
_cell_angle_gamma 90.00
loop_
_atom_site_label
_atom_site_type_symbol
_atom_site_fract_x
_atom_site_fract_y
_atom_site_fract_z
Cd1 Cd 0.000 0.000 0.000
Hg1 Hg 0.103 0.701 0.500
```

(11)
Compound: NiW2Se
Source: the Alexandria database
Functional: SCAN
Structure: PBEsol geometry

Uncorrected formation energy (meV per atom): 562
Total magnetization (μB/atom): 0.00
Mass density (g/cm³): 14.40

CIF file:
```
data_NiW2Se
_symmetry_space_group_name_H-M 'I m m m'
_symmetry_Int_Tables_number 71
_symmetry_space_group_name_Hall '-I 2 2'
_cell_length_a 3.073
_cell_length_b 4.379
_cell_length_c 8.662
_cell_angle_alpha 90.00
_cell_angle_beta 90.00
_cell_angle_gamma 90.00
loop_
_atom_site_label
_atom_site_type_symbol
_atom_site_fract_x
_atom_site_fract_y
_atom_site_fract_z
Ni1 Ni 0.000 0.000 0.000
W1 W 0.000 0.500 0.234
Se1 Se 0.000 0.000 0.500
```

(12)
Compound: Ta2CuW
Source: the Alexandria database
Functional: SCAN
Structure: PBEsol geometry

Total magnetization (μB/atom): 0.00
Mass density (g/cm³): 15.74
Energy of formation (eV per atom): 0.352
Energy above the lowest structure with this stoichiometry (meV per atom): 173.9

CIF file:
```
data_Ta2CuW
_symmetry_space_group_name_H-M 'R -3 m'
_symmetry_Int_Tables_number 166
_symmetry_space_group_name_Hall '-R 3 2"'
_cell_length_a 2.7847
_cell_length_b 2.7847
_cell_length_c 28.7138
_cell_angle_alpha 90.00
_cell_angle_beta 90.00
_cell_angle_gamma 120.00
loop_
_atom_site_label
_atom_site_type_symbol
_atom_site_fract_x
_atom_site_fract_y
_atom_site_fract_z
Ta1 Ta 0.0000 0.0000 0.2456
Cu1 Cu 0.0000 0.0000 0.5000
W1 W 0.0000 0.0000 0.0000
```